No. 1
The following is a DFT calculation (PBE-GGA) of crystalline TmGeW at its relaxed geometry.

a b c (Å): 4.692 4.692 4.692
angles (deg): 60.00 60.00 60.00
Fractional positions:
Ge 0.250 0.250 0.250
Tm 0.000 0.000 0.000
W 0.750 0.750 0.750

Calculated values
crystal system: cubic
uncorrected energy: -18.29 eV per cell
total moment: 2.67 μB/cell
SG: F-43m
ρ: 9.67 g/cm³

No. 2
The following is a DFT calculation (PBE-GGA) of crystalline Zr4PbSN2 at its relaxed geometry.

a b c (Å): 3.386 3.386 13.350
angles (deg): 90.00 90.00 120.00
Fractional positions:
N 0.333 0.667 0.228
N 0.333 0.667 0.772
Pb 0.667 0.333 0.500
S 0.000 0.000 0.000
Zr 0.667 0.333 0.136
Zr 0.000 0.000 0.315
Zr 0.000 0.000 0.685
Zr 0.667 0.333 0.864

Calculated values
crystal system: hexagonal
uncorrected energy: -68.98 eV per cell
total moment: 0.00 μB/cell
SG: P-6m2
ρ: 7.92 g/cm³

No. 3
The following is a DFT calculation (PBE-GGA) of crystalline NbHgS2 at its relaxed geometry.

a b c (Å): 3.333 3.335 9.427
angles (deg): 89.92 89.52 60.02
Fractional positions:
Hg 0.154 0.388 0.124
Nb 0.806 0.066 0.623
S 0.144 0.398 0.458
S 0.134 0.402 0.789

Calculated values
crystal system: triclinic
uncorrected energy: -21.76 eV per cell
total moment: 0.00 μB/cell
SG: P1
ρ: 6.54 g/cm³

No. 4
The following is a DFT calculation (PBE-GGA) of crystalline KAgF3 at its relaxed geometry.

a b c (Å): 6.102 8.345 6.022
angles (deg): 90.00 90.00 90.00
Fractional positions:
Ag 0.500 0.000 0.000
Ag 0.500 0.500 0.000
Ag 0.000 0.000 0.500
Ag 0.000 0.500 0.500
F 0.519 0.250 0.074
F 0.790 0.536 0.204
F 0.790 0.964 0.204
F 0.290 0.536 0.296
F 0.290 0.964 0.296
F 0.019 0.250 0.426
F 0.981 0.750 0.574
F 0.710 0.036 0.704
F 0.710 0.464 0.704
F 0.210 0.036 0.796
F 0.210 0.464 0.796
F 0.481 0.750 0.926
K 0.039 0.750 0.007
K 0.539 0.750 0.493
K 0.461 0.250 0.507
K 0.961 0.250 0.993

Calculated values
crystal system: orthorhombic
uncorrected energy: -75.13 eV per cell
SG: Pnma
ρ: 4.42 g/cm³

No. 5
The following is a DFT calculation (PBE-GGA) of crystalline ScGaCoNi at its relaxed geometry.

a b c (Å): 4.303 4.303 4.303
angles (deg): 60.00 60.00 60.00
Fractional positions:
Co 0.500 0.500 0.500
Ga 0.000 0.000 0.000
Ni 0.250 0.250 0.250
Sc 0.750 0.750 0.750

Calculated values
crystal system: cubic
uncorrected energy: -22.86 eV per cell
total moment: 1.26 μB/cell
SG: F-43m
ρ: 6.85 g/cm³

No. 6
The following is a DFT calculation (PBE-GGA) of crystalline NbAgB at its relaxed geometry.

a b c (Å): 4.112 4.112 4.112
angles (deg): 60.00 60.00 60.00
Fractional positions:
Ag 0.000 0.000 0.000
B 0.250 0.250 0.250
Nb 0.750 0.750 0.750

Calculated values
crystal system: cubic
uncorrected energy: -15.73 eV per cell
total moment: 0.02 μB/cell
SG: F-43m
ρ: 7.15 g/cm³

No. 7
The following is a DFT calculation (PBE-GGA) of crystalline PmHgPt4 at its relaxed geometry.

a b c (Å): 5.421 5.421 5.421
angles (deg): 60.00 60.00 60.00
Fractional positions:
Hg 0.000 0.000 0.000
Pm 0.250 0.250 0.250
Pt 0.625 0.625 0.124
Pt 0.625 0.124 0.625
Pt 0.124 0.625 0.625
Pt 0.625 0.625 0.625

Calculated values
crystal system: cubic
uncorrected energy: -33.79 eV per cell
total moment: 0.00 μB/cell
SG: F-43m
ρ: 16.60 g/cm³
calculated formation energy: -754 meV per atom

No. 8
The following is a DFT calculation (PBE-GGA) of crystalline ZnO at its relaxed geometry.

a b c (Å): 5.566 5.566 3.262
angles (deg): 90.00 90.00 90.00
Fractional positions:
O 0.817 0.183 0.000
O 0.183 0.817 0.000
O 0.317 0.317 0.500
O 0.683 0.683 0.500
Zn 0.180 0.180 0.000
Zn 0.820 0.820 0.000
Zn 0.680 0.320 0.500
Zn 0.320 0.680 0.500

Calculated values
crystal system: tetragonal
uncorrected energy: -36.18 eV per cell
SG: P4_2/mnm
ρ: 5.35 g/cm³

Q: Look up the ρ of the seventh one.
A: 16.60 g/cm³

Q: Which of these has the lowest uncorrected energy?
A: KAgF3

Q: Among the records above, which one has the lowest uncorrected energy?
A: KAgF3